YSbTeI2 | PBE-GGA | optimized geometry

a = 5.7983 Å, b = 5.7983 Å, c = 6.0229 Å
α = 90.00°, β = 90.00°, γ = 90.00°
Last column: magnetic moment on the atom in μB.
Atoms (fractional coordinates):
Y (0.5000, 0.5000, 0.5000)  0.21
Te (0.0000, 0.0000, 0.0000)  0.03
Sb (0.0000, 0.0000, 0.5000)  -0.01
I (0.5000, 0.0000, 0.0000)  0.01
I (0.0000, 0.5000, 0.0000)  0.01

Values from the calculation:
total moment = 0.094 μB per atom
total energy = -3.02 eV per atom
E_form (uncorrected) = 348 meV per atom